1.
Here is a relaxed structure of Sm2ThIn6 from Alexandria. Energies are from PBE.

Summary:
E: -3.929 eV/atom
V: 29.02 Å³/atom
calculated formation energy: -0.230 eV/atom
energy above the lowest structure with this stoichiometry: 0.1646 eV per atom
DOS at the Fermi energy: 0.8843 states/eV per atom
M_tot: 0.0 μB/cell

Unit cell a=4.5773 b=8.6971 c=8.6971 alpha=52.08 beta=74.74 gamma=74.74
Sites, in units of the cell vectors:
Sm 0.1224 0.3776 0.3776
Sm 0.8776 0.6224 0.6224
In 0.5000 0.3067 0.6933
In 0.3136 0.9933 0.3796
In 0.6864 0.6204 0.0067
In 0.6864 0.0067 0.6204
In 0.3136 0.3796 0.9933
In 0.5000 0.6933 0.3067
Th 0.0000 0.0000 0.0000



2.
Here is a relaxed structure of Sm4ThIn3 from Alexandria. Energies are from PBE.

Summary:
E: -4.625 eV/atom
V: 29.13 Å³/atom
calculated formation energy: -0.311 eV/atom
DOS at the Fermi energy: 1.3442 states/eV per atom
M_tot: 0.0 μB/cell

Unit cell a=3.6706 b=5.5686 c=11.3999 alpha=90.00 beta=90.00 gamma=90.00
Sites, in units of the cell vectors:
Sm 0.0000 0.5000 0.7411
Sm 0.0000 0.0000 0.0000
Sm 0.0000 0.0000 0.5000
Sm 0.0000 0.5000 0.2589
Th 0.5000 0.5000 0.0000
In 0.5000 0.0000 0.7570
In 0.5000 0.5000 0.5000
In 0.5000 0.0000 0.2430



3.
Here is a relaxed structure of SmTh2In9 from Alexandria. Energies are from PBE.

Summary:
E: -4.071 eV/atom
V: 26.32 Å³/atom
calculated formation energy: -0.388 eV/atom
DOS at the Fermi energy: 0.4595 states/eV per atom
M_tot: 0.0 μB/cell

Unit cell a=4.7245 b=4.7245 c=14.1494 alpha=90.00 beta=90.00 gamma=90.00
Sites, in units of the cell vectors:
In 0.0000 0.5000 0.1638
In 0.5000 0.0000 0.5000
In 0.5000 0.5000 0.0000
In 0.5000 0.5000 0.6677
In 0.5000 0.5000 0.3323
In 0.5000 0.0000 0.1638
In 0.0000 0.5000 0.8362
In 0.0000 0.5000 0.5000
In 0.5000 0.0000 0.8362
Th 0.0000 0.0000 0.6681
Th 0.0000 0.0000 0.3319
Sm 0.0000 0.0000 0.0000



4.
Here is a relaxed structure of Sm2Th2In3 from Alexandria. Energies are from PBE.

Summary:
E: -4.966 eV/atom
V: 28.92 Å³/atom
calculated formation energy: -0.324 eV/atom
DOS at the Fermi energy: 0.9398 states/eV per atom
M_tot: 0.0 μB/cell

Unit cell a=4.4717 b=3.6525 c=12.7293 alpha=98.29 beta=79.88 gamma=90.00
Sites, in units of the cell vectors:
In 0.0000 0.0000 0.0000
In 0.8608 0.1407 0.2784
In 0.1392 0.8593 0.7216
Sm 0.4300 0.5708 0.1399
Sm 0.5700 0.4292 0.8601
Th 0.7092 0.2897 0.5816
Th 0.2908 0.7103 0.4184



5.
Here is a relaxed structure of Sm5ThIn4 from Alexandria. Energies are from PBE.

Summary:
E: -4.587 eV/atom
V: 28.85 Å³/atom
calculated formation energy: -0.390 eV/atom
DOS at the Fermi energy: 0.7691 states/eV per atom
M_tot: 0.0 μB/cell

Unit cell a=3.5926 b=3.5926 c=22.3518 alpha=90.00 beta=90.00 gamma=90.00
Sites, in units of the cell vectors:
Sm 0.5000 0.5000 0.1103
Sm 0.5000 0.5000 0.5000
Sm 0.5000 0.5000 0.6947
Sm 0.5000 0.5000 0.8897
Sm 0.5000 0.5000 0.3053
In 0.0000 0.0000 0.2075
In 0.0000 0.0000 0.5976
In 0.0000 0.0000 0.7925
In 0.0000 0.0000 0.4024
Th 0.0000 0.0000 0.0000



6.
Here is a relaxed structure of Sm2ThIn6 from Alexandria. Energies are from PBE.

Summary:
E: -4.094 eV/atom
V: 26.66 Å³/atom
calculated formation energy: -0.395 eV/atom
energy above the lowest structure with this stoichiometry: 0.0000 eV per atom
DOS at the Fermi energy: 0.3354 states/eV per atom
M_tot: 0.0 μB/cell

Unit cell a=3.5939 b=8.7804 c=8.7804 alpha=120.00 beta=90.00 gamma=90.00
Sites, in units of the cell vectors:
In 0.5000 0.0000 0.6649
In 0.5000 0.3351 0.3351
In 0.5000 0.3351 0.0000
In 0.5000 0.6649 0.0000
In 0.5000 0.6649 0.6649
In 0.5000 0.0000 0.3351
Sm 0.0000 0.3333 0.6667
Sm 0.0000 0.6667 0.3333
Th 0.0000 0.0000 0.0000



7.
Here is a relaxed structure of Sm7ThIn4 from Alexandria. Energies are from PBE.

Summary:
E: -4.378 eV/atom
V: 31.30 Å³/atom
calculated formation energy: -0.094 eV/atom
DOS at the Fermi energy: 1.0358 states/eV per atom
M_tot: 0.0 μB/cell

Unit cell a=5.8757 b=9.3651 c=7.8789 alpha=73.92 beta=68.11 gamma=71.72
Sites, in units of the cell vectors:
Sm 0.9370 0.3922 0.7338
Sm 0.7955 0.8836 0.5255
Sm 0.5000 0.0000 0.0000
Sm 0.2737 0.6689 0.7837
Sm 0.7263 0.3311 0.2163
Sm 0.0630 0.6078 0.2662
Sm 0.2045 0.1164 0.4745
In 0.5537 0.2560 0.6366
In 0.3163 0.3359 0.0315
In 0.4463 0.7440 0.3634
In 0.6837 0.6641 0.9685
Th 0.0000 0.0000 0.0000



8.
Here is a relaxed structure of Sm2ThIn from Alexandria. Energies are from PBE.

Summary:
E: -4.943 eV/atom
V: 29.92 Å³/atom
calculated formation energy: -0.043 eV/atom
energy above the lowest structure with this stoichiometry: 0.1907 eV per atom
DOS at the Fermi energy: 1.7662 states/eV per atom
M_tot: 0.0 μB/cell

Unit cell a=5.5312 b=5.5312 c=5.5312 alpha=60.00 beta=60.00 gamma=60.00
Sites, in units of the cell vectors:
Sm 0.7500 0.7500 0.7500
Sm 0.2500 0.2500 0.2500
In 0.0000 0.0000 0.0000
Th 0.5000 0.5000 0.5000



Which value of M_tot does entry 5 give?
0.0 μB/cell